# Tb4BS2Cl | Alexandria | GGA-PBE | optimized geometry
data_Tb4BS2Cl
_cell_length_a 6.725
_cell_length_b 3.882
_cell_length_c 6.922
_cell_angle_alpha 90.00
_cell_angle_beta 108.75
_cell_angle_gamma 90.00
_space_group_name_H-M_alt 'P 1 2/m 1'
_space_group_IT_number 10
_space_group_name_Hall '-P 2y'
loop_
_atom_site_label
_atom_site_type_symbol
_atom_site_fract_x
_atom_site_fract_y
_atom_site_fract_z
Tb1 Tb 0.229 0.000 0.220
Tb2 Tb 0.249 0.500 0.783
B1 B 0.000 0.500 0.000
S1 S 0.500 0.000 0.000
S2 S 0.500 0.500 0.500
Cl1 Cl 0.000 0.000 0.500
# Density of states at the Fermi level = 0.300 states/eV/atom
# ΔE_f (raw) = -11.70 eV per formula unit


# TcBSCl2 | Alexandria | GGA-PBE | optimized geometry
data_TcBSCl2
_cell_length_a 4.940
_cell_length_b 4.940
_cell_length_c 4.460
_cell_angle_alpha 90.00
_cell_angle_beta 90.00
_cell_angle_gamma 90.00
_space_group_name_H-M_alt 'P 4/m m m'
_space_group_IT_number 123
_space_group_name_Hall '-P 4 2'
loop_
_atom_site_label
_atom_site_type_symbol
_atom_site_fract_x
_atom_site_fract_y
_atom_site_fract_z
Tc1 Tc 0.000 0.000 0.000
B1 B 0.500 0.500 0.500
S1 S 0.000 0.000 0.500
Cl1 Cl 0.000 0.500 0.000
# Energy above the lowest structure with this stoichiometry = 0 meV/atom
# Density of states at the Fermi level = 0.674 states/eV/atom
# ΔE_f (raw) = 4.19 eV per formula unit